Entry from Alexandria: a geometry-optimized SrGdCd structure (PBE).

The value obtained for the energy of formation is 0.010 eV/atom. The value obtained for the energy relative to the lowest polymorph listed for this composition is 159 meV per atom. Its density of states at the Fermi level is 5.60 states/eV per cell.

The structure belongs to space group P3m1 (No. 156); the cell edges are 5.5111, 5.5111 and 3.9307 Å and the angles 90.00°, 90.00° and 120.00°. The inequivalent atoms are Sr at (0.0000, 0.0000, 0.0000), Gd at (0.6667, 0.3333, 0.5362) and Cd at (0.3333, 0.6667, 0.3924).

Entry from Alexandria: a geometry-optimized Sr2GdCd structure (PBE).

The value obtained for the energy of formation is -0.037 eV/atom. The value obtained for the energy relative to the lowest polymorph listed for this composition is 0 meV per atom. Its density of states at the Fermi level is 8.27 states/eV per cell.

The structure belongs to space group P4/mmm (No. 123); the cell edges are 3.950, 3.950 and 9.759 Å and the angles 90.00°, 90.00° and 90.00°. The inequivalent atoms are Sr at (0.000, 0.000, 0.213), Gd at (0.500, 0.500, 0.500) and Cd at (0.500, 0.500, 0.000).

Entry from Alexandria: a geometry-optimized Sr2GdCd structure (PBE).

The value obtained for the energy of formation is 0.198 eV/atom. The value obtained for the energy relative to the lowest polymorph listed for this composition is 235 meV per atom. Its density of states at the Fermi level is 29.18 states/eV per cell.

The structure belongs to space group R-3m (No. 166, hexagonal axes); the cell edges are 3.8367, 3.8367 and 37.5851 Å and the angles 90.00°, 90.00° and 120.00°. The inequivalent atoms are Sr at (0.0000, 0.0000, 0.0962), Gd at (0.0000, 0.0000, 0.0000) and Cd at (0.0000, 0.0000, 0.5000).